Material: RbNb3Cd
Method: DFT, PBE-GGA
State: optimized geometry

POSCAR file:
```
RbNb3Cd
1.0
5.273 0.000 0.000
0.000 5.273 0.000
0.000 0.000 5.273
Cd Nb Rb
1 3 1
Direct
0.000 0.000 0.000 Cd
0.500 0.000 0.000 Nb
0.000 0.000 0.500 Nb
0.000 0.500 0.000 Nb
0.500 0.500 0.500 Rb
```

As for the excess energy over the best structure of this formula in the dataset: 0.000 eV per atom. As for the total moment: 3.3 Bohr magnetons per cell. The calculation puts the density of states at the Fermi level at 8.39 states/eV/cell. The value obtained for the formation energy is 2145.7 meV per atom. The space-group type is Pm-3m, No. 221.

***

Material: RbNbCd3
Method: DFT, PBE-GGA
State: optimized geometry

POSCAR file:
```
RbNbCd3
1.0
6.280 0.000 0.000
0.000 6.280 0.000
0.000 0.000 6.280
Nb Cd Rb
1 3 1
Direct
0.500 0.500 0.500 Nb
0.000 0.500 0.000 Cd
0.500 0.000 0.000 Cd
0.000 0.000 0.500 Cd
0.000 0.000 0.000 Rb
```

As for the excess energy over the best structure of this formula in the dataset: 1.050 eV per atom. As for the total moment: 4.9 Bohr magnetons per cell. The calculation puts the density of states at the Fermi level at 13.44 states/eV/cell. The value obtained for the formation energy is 1608.4 meV per atom. The space-group type is Pm-3m, No. 221.